Below is crystalline Tl3H4Rh2 at its relaxed geometry, with properties calculated at the PBE level.

As for the calculated volume: 15.06 Å³/atom. As for the total energy: -140.44 eV/cell. The crystal system is monoclinic.

It has space group C2/c (No. 15), with a = 12.682 Å, b = 8.964 Å, c = 4.853 Å, α = 90.00°, β = 100.61° and γ = 90.00°. The inequivalent atoms are Tl at (0.000, 0.149, 0.250), Tl at (0.135, 0.373, 0.845), H at (0.156, 0.049, 0.865), H at (0.206, 0.246, 0.303) and Rh at (0.202, 0.111, 0.566).